Computed, not measured: KSrBr2 after structural relaxation at the GGA-PBE level of DFT.

Geometry as POSCAR:
```
KSrBr2
1.0
-0.6237 6.7057 1.5626
-6.6241 -1.4789 1.3155
6.4102 -0.8827 2.4346
K Br Sr
1 2 1
direct
0.7500 0.2500 0.5000
0.0258 0.0258 0.0000
0.4742 0.4742 0.0000
0.2500 0.7500 0.5000
```

Output
SG: Immm (71)
DOS at the Fermi energy: 0.341 states/eV per atom
raw formation energy: -1.44 eV/atom
crystal system: orthorhombic
raw total energy: -11.9 eV for the cell shown